[1]
{
  "formula": "Rb2CaNiI6",
  "functional": "PBE",
  "state": "optimized geometry",
  "final_energy_ev_per_atom": -2.918,
  "crystal_system": "cubic",
  "e_form_raw_kcal_per_mol_atoms": -23.4,
  "sg": "Fm-3m (225)",
  "cell": [[-5.094, 2.640, -6.024], [-6.465, -3.413, 3.971], [-6.636, 4.645, 1.903]],
  "species": ["I", "I", "I", "I", "I", "I", "Ni", "Ca", "Rb", "Rb"],
  "fractional_positions": [[0.236, 0.236, 0.528], [0.764, 0.764, 0.472], [0.236, 0.236, 0.000], [0.764, 0.764, 0.000], [0.764, 0.236, 0.000], [0.236, 0.764, 0.000], [0.000, 0.000, 0.000], [0.500, 0.500, 0.000], [0.750, 0.250, 0.500], [0.250, 0.750, 0.500]]
}



[2]
{
  "formula": "CaNiSb2I",
  "functional": "PBE",
  "state": "optimized geometry",
  "final_energy_ev_per_atom": -2.611,
  "crystal_system": "tetragonal",
  "e_above_lowest_polymorph_ev_per_fu": 5.27,
  "e_form_raw_kcal_per_mol_atoms": 20.9,
  "sg": "P4/mmm (123)",
  "cell": [[5.858, 0.000, 0.000], [0.000, 5.858, 0.000], [0.000, 0.000, 5.785]],
  "species": ["I", "Sb", "Sb", "Ca", "Ni"],
  "fractional_positions": [[0.000, 0.000, 0.500], [0.000, 0.500, 0.000], [0.500, 0.000, 0.000], [0.000, 0.000, 0.000], [0.500, 0.500, 0.500]]
}



[3]
{
  "formula": "CaNiSb2I",
  "functional": "PBE",
  "state": "optimized geometry",
  "final_energy_ev_per_atom": -3.665,
  "crystal_system": "tetragonal",
  "e_above_lowest_polymorph_ev_per_fu": 0.00,
  "e_form_raw_kcal_per_mol_atoms": -3.4,
  "sg": "P4/mmm (123)",
  "cell": [[-0.388, 3.273, -3.494], [-1.113, -3.471, -3.128], [-6.572, 0.786, 1.466]],
  "species": ["I", "Sb", "Sb", "Ca", "Ni"],
  "fractional_positions": [[0.000, 0.000, 0.500], [0.000, 0.500, 0.000], [0.500, 0.000, 0.000], [0.500, 0.500, 0.500], [0.000, 0.000, 0.000]]
}



[4]
{
  "formula": "CaSc2NiI",
  "functional": "PBE",
  "state": "optimized geometry",
  "final_energy_ev_per_atom": -3.665,
  "crystal_system": "tetragonal",
  "e_form_raw_kcal_per_mol_atoms": 16.9,
  "sg": "P4/mmm (123)",
  "cell": [[5.250, 0.000, 0.000], [0.000, 5.655, 0.000], [0.000, 0.000, 5.250]],
  "species": ["I", "Ni", "Ca", "Sc", "Sc"],
  "fractional_positions": [[0.000, 0.000, 0.000], [0.500, 0.500, 0.500], [0.000, 0.500, 0.000], [0.000, 0.000, 0.500], [0.500, 0.000, 0.000]]
}



[5]
{
  "formula": "CaTa2NiI",
  "functional": "PBE",
  "state": "optimized geometry",
  "final_energy_ev_per_atom": -4.691,
  "crystal_system": "tetragonal",
  "e_form_raw_kcal_per_mol_atoms": 44.2,
  "sg": "P4/mmm (123)",
  "cell": [[5.020, 0.000, 0.000], [0.000, 5.523, 0.000], [0.000, 0.000, 5.020]],
  "species": ["I", "Ni", "Ca", "Ta", "Ta"],
  "fractional_positions": [[0.000, 0.000, 0.000], [0.500, 0.500, 0.500], [0.000, 0.500, 0.000], [0.000, 0.000, 0.500], [0.500, 0.000, 0.000]]
}



[6]
{
  "formula": "Ca2TcNiI",
  "functional": "PBE",
  "state": "optimized geometry",
  "final_energy_ev_per_atom": -3.638,
  "crystal_system": "tetragonal",
  "e_form_raw_kcal_per_mol_atoms": 16.2,
  "sg": "P4/mmm (123)",
  "cell": [[-5.057, -0.393, -1.854], [0.965, -4.502, -1.676], [-1.569, -2.095, 4.724]],
  "species": ["I", "Ni", "Ca", "Ca", "Tc"],
  "fractional_positions": [[0.000, 0.500, 0.000], [0.000, 0.000, 0.000], [0.000, 0.000, 0.500], [0.500, 0.000, 0.000], [0.500, 0.500, 0.500]]
}



[7]
{
  "formula": "Ca2NpI8",
  "functional": "PBE",
  "state": "optimized geometry",
  "final_energy_ev_per_atom": -3.785,
  "crystal_system": "monoclinic",
  "e_form_raw_kcal_per_mol_atoms": -25.8,
  "sg": "C2/m (12)",
  "cell": [[-3.586, -4.780, 5.687], [7.812, -3.124, 2.330], [5.296, 3.273, 6.120]],
  "species": ["Ca", "Ca", "Np", "I", "I", "I", "I", "I", "I", "I", "I"],
  "fractional_positions": [[0.461, 0.870, 0.870], [0.539, 0.130, 0.130], [0.000, 0.000, 0.000], [0.271, 0.283, 0.786], [0.729, 0.214, 0.717], [0.096, 0.815, 0.815], [0.904, 0.185, 0.185], [0.271, 0.786, 0.283], [0.729, 0.717, 0.214], [0.600, 0.696, 0.696], [0.400, 0.304, 0.304]]
}



[8]
{
  "formula": "CaNpI6",
  "functional": "PBE",
  "state": "optimized geometry",
  "final_energy_ev_per_atom": -4.085,
  "crystal_system": "monoclinic",
  "e_form_raw_kcal_per_mol_atoms": -24.3,
  "sg": "C2/m (12)",
  "cell": [[7.937, -0.323, -1.288], [-4.442, 6.585, -1.288], [0.085, 0.152, 7.599]],
  "species": ["Ca", "Np", "I", "I", "I", "I", "I", "I"],
  "fractional_positions": [[0.000, 0.000, 0.000], [0.500, 0.500, 0.500], [0.589, 0.890, 0.744], [0.890, 0.589, 0.744], [0.110, 0.411, 0.256], [0.411, 0.110, 0.256], [0.256, 0.256, 0.738], [0.744, 0.744, 0.262]]
}



[9]
{
  "formula": "Ca3NpI2O6",
  "functional": "PBE",
  "state": "optimized geometry",
  "final_energy_ev_per_atom": -6.486,
  "crystal_system": "monoclinic",
  "e_form_raw_kcal_per_mol_atoms": -50.0,
  "sg": "C2/m (12)",
  "cell": [[6.376, 0.000, 0.856], [0.000, 6.625, 0.000], [0.405, -3.313, 5.975]],
  "species": ["Ca", "Ca", "Ca", "Np", "I", "I", "O", "O", "O", "O", "O", "O"],
  "fractional_positions": [[0.000, 0.500, 0.000], [0.500, 0.500, 0.500], [0.500, 0.000, 0.500], [0.500, 0.000, 0.000], [0.090, 0.743, 0.487], [0.910, 0.257, 0.513], [0.680, 0.277, 0.104], [0.320, 0.723, 0.896], [0.641, 0.832, 0.664], [0.359, 0.168, 0.336], [0.320, 0.173, 0.896], [0.680, 0.827, 0.104]]
}



[10]
{
  "formula": "CaNpIO6",
  "functional": "PBE",
  "state": "optimized geometry",
  "final_energy_ev_per_atom": -7.028,
  "crystal_system": "trigonal",
  "e_form_raw_kcal_per_mol_atoms": -43.6,
  "sg": "P-31c (163)",
  "cell": [[-4.632, -2.432, -2.244], [0.525, 0.449, 5.650], [-4.468, 8.767, -0.282]],
  "species": ["Ca", "Ca", "Np", "Np", "I", "I", "O", "O", "O", "O", "O", "O", "O", "O", "O", "O", "O", "O"],
  "fractional_positions": [[0.000, 0.000, 0.000], [0.000, 0.000, 0.500], [0.667, 0.333, 0.250], [0.333, 0.667, 0.750], [0.333, 0.667, 0.250], [0.667, 0.333, 0.750], [0.640, 0.646, 0.139], [0.005, 0.360, 0.139], [0.360, 0.005, 0.639], [0.995, 0.640, 0.861], [0.354, 0.360, 0.361], [0.005, 0.646, 0.361], [0.646, 0.005, 0.861], [0.640, 0.995, 0.361], [0.995, 0.354, 0.639], [0.354, 0.995, 0.139], [0.646, 0.640, 0.639], [0.360, 0.354, 0.861]]
}



[11]
{
  "formula": "RbCa2NpI8",
  "functional": "PBE",
  "state": "optimized geometry",
  "final_energy_ev_per_atom": -3.817,
  "crystal_system": "monoclinic",
  "e_form_raw_kcal_per_mol_atoms": -29.8,
  "sg": "P2/m (10)",
  "cell": [[7.724, 0.003, -0.004], [0.054, 7.431, -0.007], [0.008, 0.014, 9.749]],
  "species": ["Rb", "Ca", "Ca", "Np", "I", "I", "I", "I", "I", "I", "I", "I"],
  "fractional_positions": [[0.000, 0.000, 0.500], [0.500, 0.500, 0.747], [0.500, 0.500, 0.253], [0.000, 0.000, 0.000], [0.166, 0.747, 0.217], [0.670, 0.739, 0.000], [0.834, 0.253, 0.217], [0.834, 0.253, 0.783], [0.330, 0.261, 0.000], [0.166, 0.747, 0.783], [0.626, 0.730, 0.500], [0.374, 0.270, 0.500]]
}



[12]
{
  "formula": "RbCaNpI6",
  "functional": "PBE",
  "state": "optimized geometry",
  "final_energy_ev_per_atom": -4.058,
  "crystal_system": "trigonal",
  "e_form_raw_kcal_per_mol_atoms": -29.0,
  "sg": "P-31c (163)",
  "cell": [[8.120, 0.000, 0.000], [-4.060, 7.032, 0.000], [0.000, 0.000, 16.218]],
  "species": ["Rb", "Rb", "Ca", "Ca", "Np", "Np", "I", "I", "I", "I", "I", "I", "I", "I", "I", "I", "I", "I"],
  "fractional_positions": [[0.000, 0.000, 0.000], [0.000, 0.000, 0.500], [0.333, 0.667, 0.250], [0.667, 0.333, 0.750], [0.667, 0.333, 0.250], [0.333, 0.667, 0.750], [0.631, 0.628, 0.139], [0.998, 0.369, 0.139], [0.369, 0.998, 0.639], [0.002, 0.631, 0.861], [0.372, 0.369, 0.361], [0.998, 0.628, 0.361], [0.628, 0.998, 0.861], [0.631, 0.002, 0.361], [0.002, 0.372, 0.639], [0.372, 0.002, 0.139], [0.628, 0.631, 0.639], [0.369, 0.372, 0.861]]
}



[13]
{
  "formula": "CaIO2",
  "functional": "PBE",
  "state": "optimized geometry",
  "final_energy_ev_per_atom": -3.813,
  "crystal_system": "trigonal",
  "e_above_lowest_polymorph_ev_per_fu": 4.52,
  "e_form_raw_kcal_per_mol_atoms": -10.3,
  "sg": "R-3m (166)",
  "cell": [[2.296, 0.000, 5.642], [-1.148, 1.988, 5.642], [-1.148, -1.988, 5.642]],
  "species": ["I", "Ca", "O", "O"],
  "fractional_positions": [[0.500, 0.500, 0.500], [0.000, 0.000, 0.000], [0.870, 0.870, 0.870], [0.130, 0.130, 0.130]]
}



[14]
{
  "formula": "CaI2O4",
  "functional": "PBE",
  "state": "optimized geometry",
  "final_energy_ev_per_atom": -4.512,
  "crystal_system": "monoclinic",
  "e_form_raw_kcal_per_mol_atoms": -21.9,
  "sg": "P2_1/c (14)",
  "cell": [[-1.470, 6.510, 6.954], [-2.563, -2.287, 1.599], [4.144, -3.782, 4.416]],
  "species": ["Ca", "Ca", "I", "I", "I", "I", "O", "O", "O", "O", "O", "O", "O", "O"],
  "fractional_positions": [[0.500, 0.000, 0.500], [0.000, 0.000, 0.000], [0.128, 0.737, 0.618], [0.628, 0.263, 0.882], [0.872, 0.263, 0.382], [0.372, 0.737, 0.118], [0.639, 0.460, 0.607], [0.139, 0.540, 0.893], [0.361, 0.540, 0.393], [0.861, 0.460, 0.107], [0.954, 0.962, 0.677], [0.454, 0.038, 0.823], [0.046, 0.038, 0.323], [0.546, 0.962, 0.177]]
}



[15]
{
  "formula": "CaI2O2",
  "functional": "PBE",
  "state": "optimized geometry",
  "final_energy_ev_per_atom": -3.162,
  "crystal_system": "tetragonal",
  "e_above_lowest_polymorph_ev_per_fu": 1.56,
  "e_form_raw_kcal_per_mol_atoms": -3.7,
  "sg": "P4/mmm (123)",
  "cell": [[-3.623, 3.311, -0.066], [-2.277, -2.562, -3.513], [-2.143, -2.283, 3.054]],
  "species": ["I", "I", "Ca", "O", "O"],
  "fractional_positions": [[0.000, 0.500, 0.000], [0.500, 0.000, 0.000], [0.500, 0.500, 0.500], [0.000, 0.000, 0.000], [0.000, 0.000, 0.500]]
}



[16]
{
  "formula": "Ca5I2O12",
  "functional": "PBE",
  "state": "optimized geometry",
  "final_energy_ev_per_atom": -5.738,
  "crystal_system": "trigonal",
  "e_form_raw_kcal_per_mol_atoms": -44.2,
  "sg": "R-3c (167)",
  "cell": [[19.269, 0.051, 0.031], [16.784, 9.466, 0.031], [16.784, 4.431, 8.365]],
  "species": ["Ca", "Ca", "Ca", "Ca", "Ca", "Ca", "Ca", "Ca", "Ca", "Ca", "Ca", "Ca", "Ca", "Ca", "Ca", "Ca", "Ca", "Ca", "Ca", "Ca", "Ca", "Ca", "Ca", "Ca", "Ca", "Ca", "Ca", "Ca", "Ca", "Ca", "I", "I", "I", "I", "I", "I", "I", "I", "I", "I", "I", "I", "O", "O", "O", "O", "O", "O", "O", "O", "O", "O", "O", "O", "O", "O", "O", "O", "O", "O", "O", "O", "O", "O", "O", "O", "O", "O", "O", "O", "O", "O", "O", "O", "O", "O", "O", "O", "O", "O", "O", "O", "O", "O", "O", "O", "O", "O", "O", "O", "O", "O", "O", "O", "O", "O", "O", "O", "O", "O", "O", "O", "O", "O", "O", "O", "O", "O", "O", "O", "O", "O", "O", "O"],
  "fractional_positions": [[0.303, 0.968, 0.670], [0.670, 0.303, 0.968], [0.968, 0.670, 0.303], [0.170, 0.468, 0.803], [0.803, 0.170, 0.468], [0.468, 0.803, 0.170], [0.697, 0.032, 0.330], [0.330, 0.697, 0.032], [0.032, 0.330, 0.697], [0.830, 0.532, 0.197], [0.197, 0.830, 0.532], [0.532, 0.197, 0.830], [0.093, 0.776, 0.483], [0.483, 0.093, 0.776], [0.776, 0.483, 0.093], [0.983, 0.276, 0.593], [0.593, 0.983, 0.276], [0.276, 0.593, 0.983], [0.907, 0.224, 0.517], [0.517, 0.907, 0.224], [0.224, 0.517, 0.907], [0.017, 0.724, 0.407], [0.407, 0.017, 0.724], [0.724, 0.407, 0.017], [0.396, 0.396, 0.396], [0.896, 0.896, 0.896], [0.604, 0.604, 0.604], [0.104, 0.104, 0.104], [0.250, 0.250, 0.250], [0.750, 0.750, 0.750], [0.921, 0.579, 0.250], [0.250, 0.921, 0.579], [0.579, 0.250, 0.921], [0.750, 0.079, 0.421], [0.421, 0.750, 0.079], [0.079, 0.421, 0.750], [0.338, 0.338, 0.338], [0.838, 0.838, 0.838], [0.662, 0.662, 0.662], [0.162, 0.162, 0.162], [0.500, 0.500, 0.500], [0.000, 0.000, 0.000], [0.277, 0.083, 0.465], [0.465, 0.277, 0.083], [0.083, 0.465, 0.277], [0.965, 0.583, 0.777], [0.777, 0.965, 0.583], [0.583, 0.777, 0.965], [0.723, 0.917, 0.535], [0.535, 0.723, 0.917], [0.917, 0.535, 0.723], [0.035, 0.417, 0.223], [0.223, 0.035, 0.417], [0.417, 0.223, 0.035], [0.475, 0.321, 0.647], [0.647, 0.475, 0.321], [0.321, 0.647, 0.475], [0.147, 0.821, 0.975], [0.975, 0.147, 0.821], [0.821, 0.975, 0.147], [0.525, 0.679, 0.353], [0.353, 0.525, 0.679], [0.679, 0.353, 0.525], [0.853, 0.179, 0.025], [0.025, 0.853, 0.179], [0.179, 0.025, 0.853], [0.193, 0.261, 0.509], [0.509, 0.193, 0.261], [0.261, 0.509, 0.193], [0.009, 0.761, 0.693], [0.693, 0.009, 0.761], [0.761, 0.693, 0.009], [0.807, 0.739, 0.491], [0.491, 0.807, 0.739], [0.739, 0.491, 0.807], [0.991, 0.239, 0.307], [0.307, 0.991, 0.239], [0.239, 0.307, 0.991], [0.179, 0.477, 0.423], [0.423, 0.179, 0.477], [0.477, 0.423, 0.179], [0.923, 0.977, 0.679], [0.679, 0.923, 0.977], [0.977, 0.679, 0.923], [0.821, 0.523, 0.577], [0.577, 0.821, 0.523], [0.523, 0.577, 0.821], [0.077, 0.023, 0.321], [0.321, 0.077, 0.023], [0.023, 0.321, 0.077], [0.195, 0.273, 0.708], [0.708, 0.195, 0.273], [0.273, 0.708, 0.195], [0.208, 0.773, 0.695], [0.695, 0.208, 0.773], [0.773, 0.695, 0.208], [0.805, 0.727, 0.292], [0.292, 0.805, 0.727], [0.727, 0.292, 0.805], [0.792, 0.227, 0.305], [0.305, 0.792, 0.227], [0.227, 0.305, 0.792], [0.174, 0.554, 0.526], [0.526, 0.174, 0.554], [0.554, 0.526, 0.174], [0.026, 0.054, 0.674], [0.674, 0.026, 0.054], [0.054, 0.674, 0.026], [0.826, 0.446, 0.474], [0.474, 0.826, 0.446], [0.446, 0.474, 0.826], [0.974, 0.946, 0.326], [0.326, 0.974, 0.946], [0.946, 0.326, 0.974]]
}



[17]
{
  "formula": "Ca2IO",
  "functional": "PBE",
  "state": "optimized geometry",
  "final_energy_ev_per_atom": -3.612,
  "crystal_system": "cubic",
  "e_above_lowest_polymorph_ev_per_fu": 3.40,
  "e_form_raw_kcal_per_mol_atoms": -22.7,
  "sg": "Fm-3m (225)",
  "cell": [[-2.561, 1.528, 4.048], [-4.665, -1.693, 0.811], [-0.891, -3.206, 3.769]],
  "species": ["I", "Ca", "Ca", "O"],
  "fractional_positions": [[0.500, 0.500, 0.500], [0.250, 0.250, 0.250], [0.750, 0.750, 0.750], [0.000, 0.000, 0.000]]
}



[18]
{
  "formula": "CaI2O2",
  "functional": "PBE",
  "state": "optimized geometry",
  "final_energy_ev_per_atom": -3.475,
  "crystal_system": "tetragonal",
  "e_above_lowest_polymorph_ev_per_fu": 0.00,
  "e_form_raw_kcal_per_mol_atoms": -10.9,
  "sg": "P4/mmm (123)",
  "cell": [[-0.982, -2.954, 3.316], [1.136, -3.450, -2.737], [6.897, 0.381, 2.381]],
  "species": ["I", "I", "Ca", "O", "O"],
  "fractional_positions": [[0.500, 0.500, 0.500], [0.000, 0.000, 0.500], [0.000, 0.000, 0.000], [0.000, 0.500, 0.000], [0.500, 0.000, 0.000]]
}



[19]
{
  "formula": "CaI2O2",
  "functional": "PBE",
  "state": "optimized geometry",
  "final_energy_ev_per_atom": -3.444,
  "crystal_system": "tetragonal",
  "e_above_lowest_polymorph_ev_per_fu": 0.16,
  "e_form_raw_kcal_per_mol_atoms": -10.2,
  "sg": "P4/mmm (123)",
  "cell": [[-0.900, -4.038, -0.990], [1.908, 0.499, -3.769], [6.134, -2.062, 2.833]],
  "species": ["I", "I", "Ca", "O", "O"],
  "fractional_positions": [[0.000, 0.000, 0.000], [0.000, 0.000, 0.500], [0.500, 0.500, 0.500], [0.000, 0.500, 0.000], [0.500, 0.000, 0.000]]
}